Material: SrFe3P4O14
Method: DFT, meta-GGA SCAN
State: PBEsol geometry

Cell: 7.4961 7.6267 9.6125 Å, 90.00 111.78 90.00°
With the nearest neighbours (Å) after each atom.
Positions (direct):
Sr (0.0000, 0.0000, 0.0000)  8 O 2.55-2.82
Sr (0.0000, 0.5000, 0.5000)  8 O 2.55-2.82
Fe (0.3203, 0.1313, 0.4734)  6 O 2.05-2.23
Fe (0.3203, 0.3687, 0.9734)  6 O 2.05-2.23
Fe (0.5000, 0.0000, 0.0000)  6 O 2.07-2.19
Fe (0.5000, 0.5000, 0.5000)  6 O 2.07-2.19
Fe (0.6797, 0.6313, 0.0266)  6 O 2.05-2.23
Fe (0.6797, 0.8687, 0.5266)  6 O 2.05-2.23
P (0.0981, 0.0573, 0.6994)  4 O 1.52-1.61
P (0.0981, 0.4427, 0.1994)  4 O 1.52-1.61
P (0.3844, 0.7063, 0.1924)  4 O 1.52-1.60
P (0.3844, 0.7937, 0.6924)  4 O 1.52-1.60
P (0.6156, 0.2063, 0.3076)  4 O 1.52-1.60
P (0.6156, 0.2937, 0.8076)  4 O 1.52-1.60
P (0.9019, 0.5573, 0.8006)  4 O 1.52-1.61
P (0.9019, 0.9427, 0.3006)  4 O 1.52-1.61
O (0.1066, 0.5158, 0.8132)  1 P 1.53
O (0.1066, 0.9842, 0.3132)  1 P 1.53
O (0.1239, 0.1844, 0.5865)  1 P 1.52
O (0.1239, 0.3156, 0.0865)  1 P 1.52
O (0.1771, 0.6322, 0.1741)  2 P 1.60-1.61
O (0.1771, 0.8678, 0.6741)  2 P 1.60-1.61
O (0.2200, 0.1110, 0.8631)  1 P 1.55
O (0.2200, 0.3890, 0.3631)  1 P 1.55
O (0.3414, 0.6189, 0.6102)  1 P 1.52
O (0.3414, 0.8811, 0.1102)  1 P 1.52
O (0.4728, 0.5768, 0.1144)  1 P 1.53
O (0.4728, 0.9232, 0.6144)  1 P 1.53
O (0.4928, 0.7149, 0.3623)  1 P 1.53
O (0.4928, 0.7851, 0.8623)  1 P 1.53
O (0.5072, 0.2149, 0.1377)  1 P 1.53
O (0.5072, 0.2851, 0.6377)  1 P 1.53
O (0.5272, 0.0768, 0.3856)  1 P 1.53
O (0.5272, 0.4232, 0.8856)  1 P 1.53
O (0.6586, 0.1189, 0.8898)  1 P 1.52
O (0.6586, 0.3811, 0.3898)  1 P 1.52
O (0.7800, 0.6110, 0.6369)  1 P 1.55
O (0.7800, 0.8890, 0.1369)  1 P 1.55
O (0.8229, 0.1322, 0.3259)  2 P 1.60-1.61
O (0.8229, 0.3678, 0.8259)  2 P 1.60-1.61
O (0.8761, 0.6844, 0.9135)  1 P 1.52
O (0.8761, 0.8156, 0.4135)  1 P 1.52
O (0.8934, 0.0158, 0.6868)  1 P 1.53
O (0.8934, 0.4842, 0.1868)  1 P 1.53

Output
VASP energy: -11.721 eV/atom
symmetry: No. 14
formation energy (no corrections): -230 kJ/mol of atoms

Material: SrPd2Se
Method: DFT, meta-GGA SCAN
State: PBEsol geometry

Cell: 4.9746 4.9746 16.1209 Å, 90.00 90.00 90.00°
With the nearest neighbours (Å) after each atom.
Positions (direct):
Sr (0.0000, 0.0000, 0.0000)  4 Pd 3.13
Sr (0.0000, 0.5000, 0.2500)  4 Pd 3.13
Sr (0.5000, 0.0000, 0.7500)  4 Pd 3.13
Sr (0.5000, 0.5000, 0.5000)  4 Pd 3.13
Pd (0.0872, 0.2500, 0.6250)  2 Se 2.41, 2 Pd 2.63
Pd (0.2500, 0.5872, 0.8750)  2 Se 2.41, 2 Pd 2.63
Pd (0.2500, 0.9128, 0.3750)  2 Se 2.41, 2 Pd 2.63
Pd (0.4128, 0.2500, 0.1250)  2 Se 2.41, 2 Pd 2.63
Pd (0.5872, 0.7500, 0.1250)  2 Se 2.41, 2 Pd 2.63
Pd (0.7500, 0.0872, 0.3750)  2 Se 2.41, 2 Pd 2.63
Pd (0.7500, 0.4128, 0.8750)  2 Se 2.41, 2 Pd 2.63
Pd (0.9128, 0.7500, 0.6250)  2 Se 2.41, 2 Pd 2.63
Se (0.0000, 0.0000, 0.5000)  4 Pd 2.41
Se (0.0000, 0.5000, 0.7500)  4 Pd 2.41
Se (0.5000, 0.0000, 0.2500)  4 Pd 2.41
Se (0.5000, 0.5000, 0.0000)  4 Pd 2.41

Output
VASP energy: -27.724 eV/atom
D(E_F): 1.1 states/eV per cell
symmetry: No. 122
formation energy (no corrections): -72 kJ/mol of atoms

Material: ReTe2Rh
Method: DFT, meta-GGA SCAN
State: PBEsol geometry

Cell: 3.1993 3.8432 6.7126 Å, 90.00 90.00 90.00°
With the nearest neighbours (Å) after each atom.
Positions (direct):
Re (0.0000, 0.0000, 0.0000)  5 Te 2.58-2.75
Te (0.0000, 0.0000, 0.3838)  1 Re 2.58, 4 Rh 2.73
Te (0.5000, 0.5000, 0.8279)  1 Rh 2.63, 4 Re 2.75
Rh (0.5000, 0.5000, 0.2194)  5 Te 2.63-2.73, 4 Re 2.90

Output
VASP energy: -44.592 eV/atom
D(E_F): 3.1 states/eV per cell
E above lowest polymorph: 0 meV/atom
symmetry: No. 25
formation energy (no corrections): 24 kJ/mol of atoms

Which value of formation energy (no corrections) does entry 3 give? 24 kJ/mol of atoms

What did the third record say?
Material: ReTe2Rh
Method: DFT, meta-GGA SCAN
State: PBEsol geometry

Cell: 3.1993 3.8432 6.7126 Å, 90.00 90.00 90.00°
With the nearest neighbours (Å) after each atom.
Positions (direct):
Re (0.0000, 0.0000, 0.0000)  5 Te 2.58-2.75
Te (0.0000, 0.0000, 0.3838)  1 Re 2.58, 4 Rh 2.73
Te (0.5000, 0.5000, 0.8279)  1 Rh 2.63, 4 Re 2.75
Rh (0.5000, 0.5000, 0.2194)  5 Te 2.63-2.73, 4 Re 2.90

Output
VASP energy: -44.592 eV/atom
D(E_F): 3.1 states/eV per cell
E above lowest polymorph: 0 meV/atom
symmetry: No. 25
formation energy (no corrections): 24 kJ/mol of atoms

What did the third record say?
Material: ReTe2Rh
Method: DFT, meta-GGA SCAN
State: PBEsol geometry

Cell: 3.1993 3.8432 6.7126 Å, 90.00 90.00 90.00°
With the nearest neighbours (Å) after each atom.
Positions (direct):
Re (0.0000, 0.0000, 0.0000)  5 Te 2.58-2.75
Te (0.0000, 0.0000, 0.3838)  1 Re 2.58, 4 Rh 2.73
Te (0.5000, 0.5000, 0.8279)  1 Rh 2.63, 4 Re 2.75
Rh (0.5000, 0.5000, 0.2194)  5 Te 2.63-2.73, 4 Re 2.90

Output
VASP energy: -44.592 eV/atom
D(E_F): 3.1 states/eV per cell
E above lowest polymorph: 0 meV/atom
symmetry: No. 25
formation energy (no corrections): 24 kJ/mol of atoms